[1]
Material: TlCrAg2Sb
Method: DFT, PBEsol
State: optimized geometry

Its total magnetic moment is 4.68 Bohr magnetons per cell. As for the crystal system: tetragonal. For the raw formation energy, the calculation gives 1.207 eV per atom.

The space group is P4/mmm (No. 123) and the conventional cell measures 5.086, 5.086 and 5.603 Å, with angles of 90.00, 90.00 and 90.00 degrees. The inequivalent atoms are Tl at (0.000, 0.000, 0.000), Cr at (0.500, 0.500, 0.500), Ag at (0.000, 0.500, 0.000) and Sb at (0.000, 0.000, 0.500).


[2]
Material: CdPb2
Method: DFT, PBEsol
State: optimized geometry

The excess energy over the best structure of this formula in the dataset is 0.11 eV per formula unit. Its total magnetic moment is 0.00 Bohr magnetons per cell. As for the crystal system: trigonal. The formation energy comes out at 0.072 eV/atom.

The space group is P-3m1 (No. 164) and the conventional cell measures 5.3524, 5.3524 and 3.3239 Å, with angles of 90.00, 90.00 and 120.00 degrees. The inequivalent atoms are Cd at (0.0000, 0.0000, 0.0000) and Pb at (0.3333, 0.6667, 0.7373).


[3]
Material: Zn3AsF
Method: DFT, PBEsol
State: optimized geometry

Its total magnetic moment is 0.00 Bohr magnetons per cell. As for the crystal system: cubic. For the raw formation energy, the calculation gives -0.099 eV per atom.

The space group is Pm-3m (No. 221) and the conventional cell measures 4.328, 4.328 and 4.328 Å, with angles of 90.00, 90.00 and 90.00 degrees. The inequivalent atoms are Zn at (0.000, 0.000, 0.500), As at (0.500, 0.500, 0.500) and F at (0.000, 0.000, 0.000).


[4]
Material: BaCdCu2
Method: DFT, PBEsol
State: optimized geometry

Its total magnetic moment is 0.00 Bohr magnetons per cell. As for the crystal system: orthorhombic. The formation energy comes out at 0.198 eV/atom.

The space group is Imm2 (No. 44) and the conventional cell measures 4.309, 5.824 and 7.756 Å, with angles of 90.00, 90.00 and 90.00 degrees. The inequivalent atoms are Ba at (0.000, 0.000, 0.000), Cd at (0.000, 0.500, 0.174), Cu at (0.000, 0.000, 0.454) and Cu at (0.000, 0.500, 0.820).


[5]
Material: KScTe2
Method: DFT, PBEsol
State: optimized geometry

Its total magnetic moment is 0.00 Bohr magnetons per cell. As for the crystal system: monoclinic. For the raw formation energy, the calculation gives -1.021 eV per atom.

The space group is Pm (No. 6) and the conventional cell measures 4.339, 4.555 and 8.008 Å, with angles of 90.00, 105.61 and 90.00 degrees. The inequivalent atoms are K at (0.000, 0.000, 0.000), Sc at (0.776, 0.500, 0.548), Te at (0.390, 0.500, 0.776) and Te at (0.673, 0.000, 0.349).


[6]
Material: CaCuRh2
Method: DFT, PBEsol
State: optimized geometry

The excess energy over the best structure of this formula in the dataset is 0.02 eV per formula unit. Its total magnetic moment is 0.00 Bohr magnetons per cell. As for the crystal system: tetragonal. The formation energy comes out at 0.083 eV/atom.

The space group is P4mm (No. 99) and the conventional cell measures 3.153, 3.153 and 6.553 Å, with angles of 90.00, 90.00 and 90.00 degrees. The inequivalent atoms are Ca at (0.000, 0.000, 0.000), Cu at (0.500, 0.500, 0.305), Rh at (0.000, 0.000, 0.487) and Rh at (0.500, 0.500, 0.701).


[7]
Material: Zn2TeAu
Method: DFT, PBEsol
State: optimized geometry

Its total magnetic moment is 0.00 Bohr magnetons per cell. As for the crystal system: orthorhombic. For the raw formation energy, the calculation gives -0.003 eV per atom.

The space group is Imm2 (No. 44) and the conventional cell measures 3.345, 3.831 and 12.357 Å, with angles of 90.00, 90.00 and 90.00 degrees. The inequivalent atoms are Zn at (0.000, 0.000, 0.000), Zn at (0.000, 0.500, 0.307), Te at (0.000, 0.500, 0.694) and Au at (0.000, 0.000, 0.457).


[8]
Material: Pt2Pb
Method: DFT, PBEsol
State: optimized geometry

Its total magnetic moment is 0.00 Bohr magnetons per cell. As for the crystal system: hexagonal. The formation energy comes out at 0.087 eV/atom.

The space group is P6_3/mmc (No. 194) and the conventional cell measures 4.6697, 4.6697 and 5.6776 Å, with angles of 90.00, 90.00 and 120.00 degrees. The inequivalent atoms are Pt at (0.0000, 0.0000, 0.0000), Pt at (0.3333, 0.6667, 0.2500) and Pb at (0.3333, 0.6667, 0.7500).